Computed, not measured: Ca2CrN2 after structural relaxation at the PBE-GGA level of DFT.

Results
Its uncorrected formation energy is -18.1 kcal/mol of atoms.

The structure in extended XYZ format:
```
10
Lattice="-5.8521 -0.2788 1.3667 -4.1093 -4.2125 -1.2494 -1.6776 -4.0180 4.9241" Properties=species:S:1:pos:R:3 pbc="T T T"
Cr -7.7469 -6.3229 4.3467
Ca -4.2223 -3.9268 3.0918
Cr -3.8921 -2.1863 0.6947
Ca -7.4166 -4.5824 1.9496
N -6.2133 -5.4027 3.9847
Ca -10.9311 -7.4576 3.9317
N -9.0866 -6.1559 3.2031
N -5.4257 -3.1065 1.0568
Ca -0.7079 -1.0516 1.1097
N -2.5524 -2.3533 1.8383
```